No. 1
LiAlSn: optimized geometry, PBE.

Calculated values
N(E_F) ... 2.1 states/eV/cell
Calculated formation energy ... -0.084 eV per atom

Cell: 3.137 4.503 9.032 Å, 90.00 90.00 90.00°
Space group Pmmm (No. 47)
Symmetry-distinct sites (fractional):
Li: 0.000 0.000 0.000 x1
Li: 0.000 0.500 0.500 x1
Al: 0.500 0.000 0.354 x2
Sn: 0.500 0.500 0.176 x2

=====

No. 2
LiAlSn: optimized geometry, PBE.

Calculated values
N(E_F) ... 2.1 states/eV/cell
Calculated formation energy ... -0.058 eV per atom

Cell: 3.726 3.726 8.857 Å, 90.00 90.00 90.00°
Space group I4mm (No. 107)
Symmetry-distinct sites (fractional):
Li: 0.000 0.000 0.000 x2
Al: 0.000 0.000 0.671 x2
Sn: 0.000 0.000 0.330 x2

=====

No. 3
LiAlSn: optimized geometry, PBE.

Calculated values
N(E_F) ... 2.7 states/eV/cell
Calculated formation energy ... -0.137 eV per atom

Cell: 4.951 3.152 7.633 Å, 90.00 97.98 90.00°
Space group P2/m (No. 10)
Symmetry-distinct sites (fractional):
Li: 0.244 0.000 0.179 x2
Al: 0.000 0.000 0.500 x1
Al: 0.500 0.500 0.500 x1
Sn: 0.254 0.500 0.829 x2